No. 1
Here is a relaxed structure of TaReNi from Alexandria via LeMat-Bulk. Energies are from PBE.

POSCAR file:
```
TaReNi
1.0
-1.0071 0.5147 3.9488
-3.9320 -0.2365 1.1644
-1.2945 -3.2019 2.2236
Ta Ni Re
1 1 1
Direct
0.5000 0.5000 0.5000
0.7500 0.7500 0.7500
0.0000 0.0000 0.0000
```

Properties
* offset from the most stable computed form: 498.2 meV per atom
* symmetry: No. 216

No. 2
Here is a relaxed structure of Rb4Ho3TiS8 from Alexandria via LeMat-Bulk. Energies are from PBE.

POSCAR file:
```
Rb4Ho3TiS8
1.0
-4.7587 5.7899 2.6844
-6.8548 -5.7235 0.1931
6.4719 -2.0752 4.1446
Rb Ho S Ti
4 3 8 1
Direct
0.0000 0.0000 0.0000
0.0000 0.0000 0.5000
0.5000 0.0000 0.0000
0.5000 0.0000 0.5000
0.5000 0.5000 0.0000
0.0000 0.5000 0.5000
0.5000 0.5000 0.5000
0.2200 0.6858 0.4399
0.7312 0.6935 0.4624
0.2688 0.3065 0.5376
0.2543 0.3142 0.0342
0.7799 0.3142 0.0342
0.2201 0.6858 0.9658
0.7800 0.3142 0.5601
0.7457 0.6858 0.9658
0.0000 0.5000 0.0000
```

Properties
* symmetry: No. 166
* E_form (uncorrected): -1680 meV per atom

No. 3
Here is a relaxed structure of As2PtCl from Alexandria via LeMat-Bulk. Energies are from PBE.

POSCAR file:
```
As2PtCl
1.0
-2.5501 1.8257 -3.8746
-2.9142 -2.3749 0.7990
-1.5533 2.6739 2.2823
Cl As Pt
1 2 1
Direct
0.5000 0.5000 0.0000
0.0000 0.5000 0.5000
0.0000 0.0000 0.0000
0.5000 0.0000 0.5000
```

Properties
* offset from the most stable computed form: 872.2 meV per atom
* symmetry: No. 123
* E_form (uncorrected): 518 meV per atom

No. 4
Here is a relaxed structure of V2PdW from Alexandria via LeMat-Bulk. Energies are from PBE.

POSCAR file:
```
V2PdW
1.0
3.1879 0.0000 0.0000
0.0000 4.2724 0.0000
0.0000 0.0000 4.2724
V W Pd
2 1 1
Direct
0.0000 0.0000 0.5000
0.0000 0.5000 0.0000
0.5000 0.0000 0.0000
0.5000 0.5000 0.5000
```

Properties
* VASP energy: -9.1290 eV/atom
* symmetry: No. 123

No. 5
Here is a relaxed structure of AcCe2I8 from Alexandria via LeMat-Bulk. Energies are from PBE.

POSCAR file:
```
AcCe2I8
1.0
6.5693 -0.1715 -0.1467
0.7405 10.0225 0.8509
0.7405 2.3943 9.7695
I Ac Ce
8 1 2
Direct
0.2567 0.8899 0.2916
0.7605 0.1889 0.1889
0.7451 0.6044 0.6044
0.2549 0.3956 0.3956
0.7433 0.7084 0.1101
0.7433 0.1101 0.7084
0.2395 0.8111 0.8111
0.2567 0.2916 0.8899
0.0000 0.0000 0.0000
0.2565 0.2153 0.2153
0.7435 0.7847 0.7847
```

Properties
* symmetry: No. 12
* E_form (uncorrected): -1229 meV per atom

No. 6
Here is a relaxed structure of LiCaRu2 from Alexandria via LeMat-Bulk. Energies are from PBE.

POSCAR file:
```
LiCaRu2
1.0
-3.9233 -0.9745 -1.9998
-0.7523 -4.1547 -1.5853
-2.9724 -2.6954 2.0592
Ru Li Ca
2 1 1
Direct
0.0000 0.0000 0.0000
0.2500 0.2500 0.2500
0.7500 0.7500 0.7500
0.5000 0.5000 0.5000
```

Properties
* offset from the most stable computed form: 58.6 meV per atom
* symmetry: No. 216

No. 7
Here is a relaxed structure of AgBN2F from Alexandria via LeMat-Bulk. Energies are from PBE.

POSCAR file:
```
AgBN2F
1.0
4.0765 0.0000 0.0000
0.0000 4.0765 0.0000
0.0000 0.0000 4.5043
N F B Ag
2 1 1 1
Direct
0.0000 0.5000 0.0000
0.5000 0.0000 0.0000
0.0000 0.0000 0.5000
0.5000 0.5000 0.5000
0.0000 0.0000 0.0000
```

Properties
* offset from the most stable computed form: 1668.8 meV per atom
* symmetry: No. 123
* E_form (uncorrected): 2191 meV per atom

No. 8
Here is a relaxed structure of Li3VZn from Alexandria via LeMat-Bulk. Energies are from PBE.

POSCAR file:
```
Li3VZn
1.0
-3.0621 3.4880 0.1563
-0.2795 -0.0377 -4.6354
-3.4803 -3.0659 0.2348
V Zn Li
1 1 3
Direct
0.5000 0.5000 0.5000
0.0000 0.0000 0.0000
0.0000 0.0000 0.5000
0.0000 0.5000 0.0000
0.5000 0.0000 0.0000
```

Properties
* offset from the most stable computed form: 0.0 meV per atom
* symmetry: No. 221